VASP calculation (PBE-GGA) on a geometry-optimized YTmCdHg structure.

```
YTmCdHg
1.0
0.0000 3.7107 3.7107
3.7107 0.0000 3.7107
3.7107 3.7107 0.0000
Y Tm Cd Hg
1 1 1 1
Cartesian
0.0000 0.0000 0.0000 Y
3.7107 3.7107 3.7107 Tm
1.8553 1.8553 1.8553 Cd
5.5660 5.5660 5.5660 Hg
```

## Properties
**Energy of formation from the pure elements**: -0.4086 eV per atom
**Volume**: 102.18 Å³ per cell
**Spin magnetization**: 0.000 μB per cell

=====

VASP calculation (PBE-GGA) on a geometry-optimized LiAsPdAu structure.

```
LiAsPdAu
1.0
0.0000 3.1650 3.1650
3.1650 0.0000 3.1650
3.1650 3.1650 0.0000
Li As Pd Au
1 1 1 1
Cartesian
0.0000 0.0000 0.0000 Li
3.1650 3.1650 3.1650 As
1.5825 1.5825 1.5825 Pd
4.7475 4.7475 4.7475 Au
```

## Properties
**Energy of formation from the pure elements**: -0.3760 eV per atom
**Volume**: 63.41 Å³ per cell
**Spin magnetization**: 0.000 μB per cell

=====

VASP calculation (PBE-GGA) on a geometry-optimized CuTc2Os structure.

```
CuTc2Os
1.0
1.4089 -2.2467 0.0000
1.4089 2.2467 0.0000
0.0000 0.0000 9.0617
Cu Tc Os
1 2 1
Cartesian
0.0000 0.0000 0.0000 Cu
0.0000 0.0000 4.5483 Tc
1.4089 0.0000 6.8008 Tc
1.4089 0.0000 2.2655 Os
```

## Properties
**Energy of formation from the pure elements**: 0.3855 eV per atom
**Offset from the most stable computed form**: 0.229 eV per atom
**Volume**: 57.37 Å³ per cell
**Spin magnetization**: 0.000 μB per cell